# TaTcPt2

TaTcPt2 after structural relaxation (GGA-PBE, Alexandria via LeMat-Bulk).

## Properties
DOS at the Fermi energy, states/eV per cell: 5.798
Symmetry: I-42d (122)
ΔH_f (0 K), meV/atom: 31

Cell and atoms, written as CIF:
```
data_TaTcPt2
_cell_length_a 3.8154
_cell_length_b 3.8154
_cell_length_c 9.7596
_cell_angle_alpha 78.73
_cell_angle_beta 78.73
_cell_angle_gamma 90.00
_space_group_name_H-M_alt 'P 1'
_space_group_IT_number 1
_space_group_name_Hall 'P 1'
loop_
_atom_site_label
_atom_site_type_symbol
_atom_site_fract_x
_atom_site_fract_y
_atom_site_fract_z
Pt1 Pt 0.6203 0.1250 0.2500
Pt2 Pt 0.8750 0.8703 0.7500
Pt3 Pt 0.3750 0.3797 0.7500
Pt4 Pt 0.1297 0.6250 0.2500
Ta1 Ta 0.0000 0.0000 0.0000
Ta2 Ta 0.7500 0.2500 0.5000
Tc1 Tc 0.5000 0.5000 0.0000
Tc2 Tc 0.2500 0.7500 0.5000
```

---

# Ta4TcPt

Ta4TcPt after structural relaxation (GGA-PBE, Alexandria via LeMat-Bulk).

## Properties
DOS at the Fermi energy, states/eV per cell: 5.110
Symmetry: F-43m (216)
ΔH_f (0 K), meV/atom: 248

Cell and atoms, written as CIF:
```
data_Ta4TcPt
_cell_length_a 5.3195
_cell_length_b 5.3195
_cell_length_c 5.3195
_cell_angle_alpha 60.00
_cell_angle_beta 60.00
_cell_angle_gamma 60.00
_space_group_name_H-M_alt 'P 1'
_space_group_IT_number 1
_space_group_name_Hall 'P 1'
loop_
_atom_site_label
_atom_site_type_symbol
_atom_site_fract_x
_atom_site_fract_y
_atom_site_fract_z
Ta1 Ta 0.3762 0.3762 0.8715
Ta2 Ta 0.8715 0.3762 0.3762
Ta3 Ta 0.3762 0.3762 0.3762
Ta4 Ta 0.3762 0.8715 0.3762
Pt1 Pt 0.0000 0.0000 0.0000
Tc1 Tc 0.7500 0.7500 0.7500
```

---

# TaTcPt2

TaTcPt2 after structural relaxation (GGA-PBE, Alexandria via LeMat-Bulk).

## Properties
DOS at the Fermi energy, states/eV per cell: 2.922
Symmetry: I4/mmm (139)
ΔH_f (0 K), meV/atom: -525

Cell and atoms, written as CIF:
```
data_TaTcPt2
_cell_length_a 4.9553
_cell_length_b 4.9553
_cell_length_c 4.9553
_cell_angle_alpha 133.73
_cell_angle_beta 133.72
_cell_angle_gamma 67.51
_space_group_name_H-M_alt 'P 1'
_space_group_IT_number 1
_space_group_name_Hall 'P 1'
loop_
_atom_site_label
_atom_site_type_symbol
_atom_site_fract_x
_atom_site_fract_y
_atom_site_fract_z
Pt1 Pt 0.5000 0.5000 0.0000
Pt2 Pt 0.0000 0.0000 0.0000
Ta1 Ta 0.7500 0.2500 0.5000
Tc1 Tc 0.2500 0.7500 0.5000
```

---

# Ta2TcPt

Ta2TcPt after structural relaxation (GGA-PBE, Alexandria via LeMat-Bulk).

## Properties
DOS at the Fermi energy, states/eV per cell: 4.861
Symmetry: R-3m (166)
ΔH_f (0 K), meV/atom: -103

Cell and atoms, written as CIF:
```
data_Ta2TcPt
_cell_length_a 8.5320
_cell_length_b 8.5320
_cell_length_c 8.5320
_cell_angle_alpha 20.83
_cell_angle_beta 20.83
_cell_angle_gamma 20.83
_space_group_name_H-M_alt 'P 1'
_space_group_IT_number 1
_space_group_name_Hall 'P 1'
loop_
_atom_site_label
_atom_site_type_symbol
_atom_site_fract_x
_atom_site_fract_y
_atom_site_fract_z
Ta1 Ta 0.5038 0.5038 0.5038
Ta2 Ta 0.9962 0.9962 0.9962
Pt1 Pt 0.7500 0.7500 0.7500
Tc1 Tc 0.2500 0.2500 0.2500
```

---

# Ta2TcPt

Ta2TcPt after structural relaxation (GGA-PBE, Alexandria via LeMat-Bulk).

## Properties
DOS at the Fermi energy, states/eV per cell: 5.029
Symmetry: R3m (160)
ΔH_f (0 K), meV/atom: 9

Cell and atoms, written as CIF:
```
data_Ta2TcPt
_cell_length_a 9.7619
_cell_length_b 9.7619
_cell_length_c 9.7619
_cell_angle_alpha 16.69
_cell_angle_beta 16.69
_cell_angle_gamma 16.69
_space_group_name_H-M_alt 'P 1'
_space_group_IT_number 1
_space_group_name_Hall 'P 1'
loop_
_atom_site_label
_atom_site_type_symbol
_atom_site_fract_x
_atom_site_fract_y
_atom_site_fract_z
Pt1 Pt 0.7513 0.7513 0.7513
Ta1 Ta 0.0042 0.0042 0.0042
Ta2 Ta 0.2472 0.2472 0.2472
Tc1 Tc 0.4973 0.4973 0.4973
```

---

# Ta2TcPt

Ta2TcPt after structural relaxation (GGA-PBE, Alexandria via LeMat-Bulk).

## Properties
DOS at the Fermi energy, states/eV per cell: 3.694
Symmetry: P4/mmm (123)
ΔH_f (0 K), meV/atom: -409

Cell and atoms, written as CIF:
```
data_Ta2TcPt
_cell_length_a 3.6979
_cell_length_b 4.2231
_cell_length_c 4.2231
_cell_angle_alpha 90.00
_cell_angle_beta 90.00
_cell_angle_gamma 90.00
_space_group_name_H-M_alt 'P 1'
_space_group_IT_number 1
_space_group_name_Hall 'P 1'
loop_
_atom_site_label
_atom_site_type_symbol
_atom_site_fract_x
_atom_site_fract_y
_atom_site_fract_z
Ta1 Ta 0.0000 0.0000 0.5000
Ta2 Ta 0.0000 0.5000 0.0000
Pt1 Pt 0.5000 0.0000 0.0000
Tc1 Tc 0.5000 0.5000 0.5000
```

---

# TaTcPt2

TaTcPt2 after structural relaxation (GGA-PBE, Alexandria via LeMat-Bulk).

## Properties
DOS at the Fermi energy, states/eV per cell: 4.617
Symmetry: F-43m (216)
ΔH_f (0 K), meV/atom: -209

Cell and atoms, written as CIF:
```
data_TaTcPt2
_cell_length_a 4.4902
_cell_length_b 4.4902
_cell_length_c 4.4902
_cell_angle_alpha 60.00
_cell_angle_beta 60.00
_cell_angle_gamma 60.00
_space_group_name_H-M_alt 'P 1'
_space_group_IT_number 1
_space_group_name_Hall 'P 1'
loop_
_atom_site_label
_atom_site_type_symbol
_atom_site_fract_x
_atom_site_fract_y
_atom_site_fract_z
Tc1 Tc 0.7500 0.7500 0.7500
Ta1 Ta 0.5000 0.5000 0.5000
Pt1 Pt 0.0000 0.0000 0.0000
Pt2 Pt 0.2500 0.2500 0.2500
```

---

# TaTcPt2

TaTcPt2 after structural relaxation (GGA-PBE, Alexandria via LeMat-Bulk).

## Properties
DOS at the Fermi energy, states/eV per cell: 4.040
Symmetry: Pmmm (47)
ΔH_f (0 K), meV/atom: -430

Cell and atoms, written as CIF:
```
data_TaTcPt2
_cell_length_a 4.1124
_cell_length_b 2.7599
_cell_length_c 6.1776
_cell_angle_alpha 63.41
_cell_angle_beta 90.00
_cell_angle_gamma 90.00
_space_group_name_H-M_alt 'P 1'
_space_group_IT_number 1
_space_group_name_Hall 'P 1'
loop_
_atom_site_label
_atom_site_type_symbol
_atom_site_fract_x
_atom_site_fract_y
_atom_site_fract_z
Tc1 Tc 0.5000 0.7500 0.7500
Pt1 Pt 0.0000 0.0050 0.9940
Pt2 Pt 0.0000 0.4950 0.5060
Ta1 Ta 0.5000 0.2500 0.2500
```

---

# Ta2TcPt

Ta2TcPt after structural relaxation (GGA-PBE, Alexandria via LeMat-Bulk).

## Properties
DOS at the Fermi energy, states/eV per cell: 3.502
Symmetry: P4mm (99)
ΔH_f (0 K), meV/atom: -302

Cell and atoms, written as CIF:
```
data_Ta2TcPt
_cell_length_a 3.3230
_cell_length_b 3.3230
_cell_length_c 6.0706
_cell_angle_alpha 90.00
_cell_angle_beta 90.00
_cell_angle_gamma 90.00
_space_group_name_H-M_alt 'P 1'
_space_group_IT_number 1
_space_group_name_Hall 'P 1'
loop_
_atom_site_label
_atom_site_type_symbol
_atom_site_fract_x
_atom_site_fract_y
_atom_site_fract_z
Pt1 Pt 0.5000 0.5000 0.7659
Ta1 Ta 0.0000 0.0000 0.9820
Ta2 Ta 0.5000 0.5000 0.2689
Tc1 Tc 0.0000 0.0000 0.4831
```

---

# TaTc3Pt

TaTc3Pt after structural relaxation (GGA-PBE, Alexandria via LeMat-Bulk).

## Properties
DOS at the Fermi energy, states/eV per cell: 5.125
Symmetry: Pm-3m (221)
ΔH_f (0 K), meV/atom: 1801

Cell and atoms, written as CIF:
```
data_TaTc3Pt
_cell_length_a 4.6499
_cell_length_b 4.6499
_cell_length_c 4.6499
_cell_angle_alpha 90.00
_cell_angle_beta 90.00
_cell_angle_gamma 90.00
_space_group_name_H-M_alt 'P 1'
_space_group_IT_number 1
_space_group_name_Hall 'P 1'
loop_
_atom_site_label
_atom_site_type_symbol
_atom_site_fract_x
_atom_site_fract_y
_atom_site_fract_z
Tc1 Tc 0.0000 0.5000 0.0000
Tc2 Tc 0.5000 0.0000 0.0000
Tc3 Tc 0.0000 0.0000 0.5000
Pt1 Pt 0.5000 0.5000 0.5000
Ta1 Ta 0.0000 0.0000 0.0000
```

---

# TaTcPt2

TaTcPt2 after structural relaxation (GGA-PBE, Alexandria via LeMat-Bulk).

## Properties
DOS at the Fermi energy, states/eV per cell: 4.090
Symmetry: Pmm2 (25)
ΔH_f (0 K), meV/atom: -360

Cell and atoms, written as CIF:
```
data_TaTcPt2
_cell_length_a 2.7855
_cell_length_b 3.9743
_cell_length_c 5.7268
_cell_angle_alpha 90.00
_cell_angle_beta 90.00
_cell_angle_gamma 90.00
_space_group_name_H-M_alt 'P 1'
_space_group_IT_number 1
_space_group_name_Hall 'P 1'
loop_
_atom_site_label
_atom_site_type_symbol
_atom_site_fract_x
_atom_site_fract_y
_atom_site_fract_z
Pt1 Pt 0.5000 0.5000 0.2521
Pt2 Pt 0.0000 0.0000 0.9880
Ta1 Ta 0.0000 0.0000 0.4965
Tc1 Tc 0.5000 0.5000 0.7634
```

---

# Ta2TcPt

Ta2TcPt after structural relaxation (GGA-PBE, Alexandria via LeMat-Bulk).

## Properties
DOS at the Fermi energy, states/eV per cell: 3.004
Symmetry: Pm (6)
ΔH_f (0 K), meV/atom: -345

Cell and atoms, written as CIF:
```
data_Ta2TcPt
_cell_length_a 4.5348
_cell_length_b 2.9788
_cell_length_c 5.0287
_cell_angle_alpha 82.12
_cell_angle_beta 90.00
_cell_angle_gamma 90.00
_space_group_name_H-M_alt 'P 1'
_space_group_IT_number 1
_space_group_name_Hall 'P 1'
loop_
_atom_site_label
_atom_site_type_symbol
_atom_site_fract_x
_atom_site_fract_y
_atom_site_fract_z
Ta1 Ta 0.0000 0.0426 0.9406
Ta2 Ta 0.5000 0.2079 0.3334
Tc1 Tc 0.0000 0.6700 0.4255
Pt1 Pt 0.5000 0.5794 0.8006
```

---

# TaTcPt2

TaTcPt2 after structural relaxation (GGA-PBE, Alexandria via LeMat-Bulk).

## Properties
DOS at the Fermi energy, states/eV per cell: 3.243
Symmetry: Cmmm (65)
ΔH_f (0 K), meV/atom: -434

Cell and atoms, written as CIF:
```
data_TaTcPt2
_cell_length_a 4.9432
_cell_length_b 4.9432
_cell_length_c 2.7741
_cell_angle_alpha 89.99
_cell_angle_beta 89.99
_cell_angle_gamma 112.35
_space_group_name_H-M_alt 'P 1'
_space_group_IT_number 1
_space_group_name_Hall 'P 1'
loop_
_atom_site_label
_atom_site_type_symbol
_atom_site_fract_x
_atom_site_fract_y
_atom_site_fract_z
Pt1 Pt 0.0000 0.0000 0.0000
Pt2 Pt 0.5000 0.5000 0.0000
Ta1 Ta 0.5000 0.0000 0.5000
Tc1 Tc 0.0000 0.5000 0.5000
```

---

# Ta2TcPt

Ta2TcPt after structural relaxation (GGA-PBE, Alexandria via LeMat-Bulk).

## Properties
DOS at the Fermi energy, states/eV per cell: 2.049
Symmetry: Cmm2 (35)
ΔH_f (0 K), meV/atom: -177

Cell and atoms, written as CIF:
```
data_Ta2TcPt
_cell_length_a 2.7951
_cell_length_b 2.7951
_cell_length_c 8.7492
_cell_angle_alpha 90.00
_cell_angle_beta 90.00
_cell_angle_gamma 103.66
_space_group_name_H-M_alt 'P 1'
_space_group_IT_number 1
_space_group_name_Hall 'P 1'
loop_
_atom_site_label
_atom_site_type_symbol
_atom_site_fract_x
_atom_site_fract_y
_atom_site_fract_z
Ta1 Ta 0.5000 0.5000 0.2585
Ta2 Ta 0.0000 0.0000 0.9913
Tc1 Tc 0.0000 0.0000 0.5039
Pt1 Pt 0.5000 0.5000 0.7463
```

---

# TaTcPt2

TaTcPt2 after structural relaxation (GGA-PBE, Alexandria via LeMat-Bulk).

## Properties
DOS at the Fermi energy, states/eV per cell: 4.034
Symmetry: R-3m (166)
ΔH_f (0 K), meV/atom: -195

Cell and atoms, written as CIF:
```
data_TaTcPt2
_cell_length_a 9.3802
_cell_length_b 9.3802
_cell_length_c 9.3802
_cell_angle_alpha 17.24
_cell_angle_beta 17.24
_cell_angle_gamma 17.24
_space_group_name_H-M_alt 'P 1'
_space_group_IT_number 1
_space_group_name_Hall 'P 1'
loop_
_atom_site_label
_atom_site_type_symbol
_atom_site_fract_x
_atom_site_fract_y
_atom_site_fract_z
Tc1 Tc 0.7500 0.7500 0.7500
Ta1 Ta 0.2500 0.2500 0.2500
Pt1 Pt 0.0016 0.0016 0.0016
Pt2 Pt 0.4984 0.4984 0.4984
```